A relaxed Rb2AgCO4 crystal, computed with PBE.

abc: 11.8808 10.8412 6.1812
angles: 83.75 65.10 31.14
Closest atoms and distances in Å follow each position.
Fractional positions:
1 Rb 0.0527 0.0527 0.6973  4 O 3.02-3.08
2 Rb 0.3027 0.3027 0.9473  4 O 3.02-3.08
3 Rb 0.6973 0.6973 0.0527  4 O 3.02-3.08
4 Rb 0.9473 0.9473 0.3027  4 O 3.02-3.08
5 Ag 0.1250 0.1250 0.1250  4 O 2.20
6 Ag 0.8750 0.8750 0.8750  4 O 2.20
7 C 0.3750 0.3750 0.3750  4 O 1.41
8 C 0.6250 0.6250 0.6250  4 O 1.41
9 O 0.1105 0.5634 0.4926  1 C 1.41
10 O 0.3335 0.4926 0.5634  1 C 1.41
11 O 0.4366 0.8895 0.6665  1 C 1.41
12 O 0.4926 0.3335 0.1105  1 C 1.41
13 O 0.5074 0.6665 0.8895  1 C 1.41
14 O 0.5634 0.1105 0.3335  1 C 1.41
15 O 0.6665 0.5074 0.4366  1 C 1.41
16 O 0.8895 0.4366 0.5074  1 C 1.41

magnetic moment: 0.073 μB/atom
symmetry: Fddd
formation energy (no corrections): -8.01 eV/f.u.